First-principles (PBE with a Hubbard U) data for a relaxed CaHo2MoO6 crystal, as listed in Alexandria via LeMat-Bulk.

Computed properties:
VASP energy (eV/atom): -7.707
Calculated density (kg/m3): 6655
Spin magnetization (μB/cell): 2.0

Cell lengths 5.6715, 5.7065, 5.9523 Å; angles 62.12, 62.25, 59.69 degrees
Last column: magnetic moment on the atom in μB.
Fractional positions:
Ca 0.8052 0.8074 0.5855  0.01
Ho 0.5256 0.5312 0.4181  0.03
Ho 0.0267 0.0195 0.9381  0.00
Mo 0.3168 0.3234 0.0429  1.84
O 0.5887 0.2194 0.2417  0.01
O 0.2128 0.9396 0.2492  0.03
O 0.9483 0.5866 0.2414  0.01
O 0.4077 0.6986 0.7607  0.02
O 0.6900 0.1336 0.7723  0.00
O 0.1399 0.4022 0.7654  0.00